Entry a
Entry from Alexandria via LeMat-Bulk: a relaxed structure of CrGaSb3 (PBE-GGA).

Values from the calculation:
Crystal system: cubic
Space group: Pm-3m, No. 221
Total magnetic moment: 0.52 μB/cell

POSCAR file:
```
CrGaSb3
1.0
5.212 0.000 0.000
0.000 5.212 0.000
0.000 0.000 5.212
Sb Ga Cr
3 1 1
Cartesian
0.000 2.606 0.000
0.000 0.000 2.606
2.606 0.000 0.000
0.000 0.000 0.000
2.606 2.606 2.606
```

***

Entry b
Entry from Alexandria via LeMat-Bulk: a relaxed structure of CrGaSb3 (PBE-GGA).

Values from the calculation:
Crystal system: cubic
Space group: Pm-3m, No. 221
Total magnetic moment: 1.00 μB/cell

POSCAR file:
```
CrGaSb3
1.0
-3.153 2.217 -3.315
-0.824 -4.497 -2.223
-3.901 -0.841 3.149
Sb Ga Cr
3 1 1
Cartesian
-0.412 -2.248 -1.112
-1.951 -0.421 1.574
-1.577 1.108 -1.657
-3.939 -1.561 -1.194
0.000 0.000 0.000
```

***

Preferred: entry b; penalty for the next structure: 921 meV/atom.